(1)
Here is crystalline Pa2MnCoO8 at its relaxed geometry from Alexandria. Energies are from PBE+U.

Values from the calculation:
crystal system = tetragonal
spin magnetization = 16.0 μB/cell
electronic total energy = -8.4813 eV per atom

Cell lengths 5.223, 5.223, 10.970 Å; angles 90.00, 90.00, 90.00 degrees
Space group I-4 (No. 82)
Inequivalent atoms, fractional coordinates:
1 Pa 0.000 0.000 0.000 x2
2 Pa 0.000 0.500 0.250 x2
3 Mn 0.000 0.500 0.750 x2
4 Co 0.000 0.000 0.500 x2
5 O 0.175 0.215 0.826 x8
6 O 0.177 0.728 0.423 x8



(2)
Here is crystalline K2Tb2CrO6 at its relaxed geometry from Alexandria. Energies are from PBE+U.

Values from the calculation:
crystal system = monoclinic
spin magnetization = 3.9 μB/cell
electronic total energy = -6.8267 eV per atom

Cell lengths 5.791, 9.840, 6.585 Å; angles 90.00, 105.52, 90.00 degrees
Space group C2/m (No. 12)
Inequivalent atoms, fractional coordinates:
1 K 0.000 0.160 0.000 x4
2 Tb 0.000 0.336 0.500 x4
3 Cr 0.000 0.000 0.500 x2
4 O 0.196 0.148 0.668 x8
5 O 0.246 0.000 0.326 x4